#i
DFT (PBE-GGA) results for a geometry-optimized CuIr2 structure.

The structure belongs to space group Cmcm (No. 63); the cell edges are 2.772, 13.717 and 4.382 Å and the angles 90.00°, 90.00° and 90.00°. The asymmetric unit holds Cu at (0.000, 0.110, 0.250), Ir at (0.000, 0.220, 0.750) and Ir at (0.000, 0.444, 0.250).

The value obtained for the total magnetization is 0.00 μB per formula unit.



#ii
DFT (PBE-GGA) results for a geometry-optimized CuIr2 structure.

The structure belongs to space group Imma (No. 74); the cell edges are 2.650, 3.992 and 17.544 Å and the angles 90.00°, 90.00° and 90.00°. The asymmetric unit holds Cu at (0.000, 0.250, 0.119), Ir at (0.000, 0.250, 0.542) and Ir at (0.000, 0.250, 0.688).

The value obtained for the total magnetization is 0.00 μB per formula unit.



Computed energies relative to the best structure, in eV/atom: #i 0.000; #ii 0.250